Entry 1:
Material: CuRe2Mo
Method: DFT, PBE
State: optimized geometry

CIF file:
```
data_CuRe2Mo
_cell_length_a 3.192
_cell_length_b 4.277
_cell_length_c 8.619
_cell_angle_alpha 90.00
_cell_angle_beta 90.00
_cell_angle_gamma 90.00
_space_group_name_H-M_alt 'I m m m'
_space_group_IT_number 71
_space_group_name_Hall '-I 2 2'
loop_
_atom_site_label
_atom_site_type_symbol
_atom_site_fract_x
_atom_site_fract_y
_atom_site_fract_z
Cu1 Cu 0.000 0.000 0.000
Re1 Re 0.000 0.500 0.245
Mo1 Mo 0.000 0.000 0.500
```

Values from the calculation:
polymorph energy (0 for the lowest one): 0.42 eV per formula unit
M_tot: 0.0 μB per cell
energy of formation: 0.2798 eV/atom

***

Entry 2:
Material: HoLuCl
Method: DFT, PBE
State: optimized geometry

CIF file:
```
data_HoLuCl
_cell_length_a 3.6068
_cell_length_b 3.6068
_cell_length_c 6.9051
_cell_angle_alpha 90.00
_cell_angle_beta 90.00
_cell_angle_gamma 120.00
_space_group_name_H-M_alt 'P 3 m 1'
_space_group_IT_number 156
loop_
_space_group_symop_operation_xyz
'x,y,z'
'-y,x-y,z'
'-x+y,-x,z'
'-y,-x,z'
'-x+y,y,z'
'x,x-y,z'
loop_
_atom_site_label
_atom_site_type_symbol
_atom_site_fract_x
_atom_site_fract_y
_atom_site_fract_z
Ho1 Ho 0.0000 0.0000 0.0000
Lu1 Lu 0.3333 0.6667 0.6251
Cl1 Cl 0.6667 0.3333 0.3150
```

Values from the calculation:
M_tot: 0.1 μB per cell
ΔE_f (raw): -0.880 eV/atom

***

Entry 3:
Material: Ag2P4Pb
Method: DFT, PBE
State: optimized geometry

CIF file:
```
data_Ag2P4Pb
_cell_length_a 5.104
_cell_length_b 5.104
_cell_length_c 13.360
_cell_angle_alpha 90.00
_cell_angle_beta 90.00
_cell_angle_gamma 90.00
_space_group_name_H-M_alt 'I 4/m m m'
_space_group_IT_number 139
_space_group_name_Hall '-I 4 2'
loop_
_atom_site_label
_atom_site_type_symbol
_atom_site_fract_x
_atom_site_fract_y
_atom_site_fract_z
Ag1 Ag 0.000 0.000 0.099
P1 P 0.000 0.000 0.274
P2 P 0.000 0.500 0.000
Pb1 Pb 0.000 0.000 0.500
```

Values from the calculation:
M_tot: 0.0 μB per cell
energy of formation: 1.0963 eV/atom

***

Entry 4:
Material: Pr4CBr2Cl
Method: DFT, PBE
State: optimized geometry

CIF file:
```
data_Pr4CBr2Cl
_cell_length_a 7.155
_cell_length_b 3.941
_cell_length_c 7.745
_cell_angle_alpha 90.00
_cell_angle_beta 106.32
_cell_angle_gamma 90.00
_space_group_name_H-M_alt 'P 1 2/m 1'
_space_group_IT_number 10
loop_
_space_group_symop_operation_xyz
'x,y,z'
'-x,-y,-z'
'-x,y,-z'
'x,-y,z'
loop_
_atom_site_label
_atom_site_type_symbol
_atom_site_fract_x
_atom_site_fract_y
_atom_site_fract_z
Pr1 Pr 0.200 0.000 0.189
Pr2 Pr 0.225 0.500 0.801
C1 C 0.000 0.500 0.000
Br1 Br 0.000 0.000 0.500
Br2 Br 0.500 0.500 0.500
Cl1 Cl 0.500 0.000 0.000
```

Values from the calculation:
M_tot: 0.0 μB per cell
ΔE_f (raw): -1.055 eV/atom

***

Entry 5:
Material: Sc8BiSb5
Method: DFT, PBE
State: optimized geometry

CIF file:
```
data_Sc8BiSb5
_cell_length_a 8.746
_cell_length_b 8.746
_cell_length_c 8.716
_cell_angle_alpha 90.00
_cell_angle_beta 90.00
_cell_angle_gamma 90.00
_space_group_name_H-M_alt 'I -4'
_space_group_IT_number 82
loop_
_space_group_symop_operation_xyz
'x,y,z'
'y,-x,-z'
'-x,-y,z'
'-y,x,-z'
'x+1/2,y+1/2,z+1/2'
'y+1/2,-x+1/2,-z+1/2'
'-x+1/2,-y+1/2,z+1/2'
'-y+1/2,x+1/2,-z+1/2'
loop_
_atom_site_label
_atom_site_type_symbol
_atom_site_fract_x
_atom_site_fract_y
_atom_site_fract_z
Sc1 Sc 0.076 0.169 0.300
Sc2 Sc 0.076 0.324 0.945
Bi1 Bi 0.000 0.500 0.250
Sb1 Sb 0.000 0.000 0.000
Sb2 Sb 0.127 0.250 0.622
```

Values from the calculation:
M_tot: 0.0 μB per cell
ΔE_f (raw): -0.839 eV/atom

***

Entry 6:
Material: MgBe2Hg
Method: DFT, PBE
State: optimized geometry

CIF file:
```
data_MgBe2Hg
_cell_length_a 5.525
_cell_length_b 8.687
_cell_length_c 3.047
_cell_angle_alpha 90.00
_cell_angle_beta 119.66
_cell_angle_gamma 90.00
_space_group_name_H-M_alt 'C 1 2/m 1'
_space_group_IT_number 12
loop_
_space_group_symop_operation_xyz
'x,y,z'
'-x,-y,-z'
'-x,y,-z'
'x,-y,z'
'x+1/2,y+1/2,z'
'-x+1/2,-y+1/2,-z'
'-x+1/2,y+1/2,-z'
'x+1/2,-y+1/2,z'
loop_
_atom_site_label
_atom_site_type_symbol
_atom_site_fract_x
_atom_site_fract_y
_atom_site_fract_z
Mg1 Mg 0.000 0.000 0.000
Be1 Be 0.250 0.250 0.000
Hg1 Hg 0.000 0.500 0.000
```

Values from the calculation:
polymorph energy (0 for the lowest one): 0.91 eV per formula unit
M_tot: 0.0 μB per cell
energy of formation: 0.4857 eV/atom

***

Entry 7:
Material: Ba2DyHfS6
Method: DFT, PBE
State: optimized geometry

CIF file:
```
data_Ba2DyHfS6
_cell_length_a 7.267
_cell_length_b 10.275
_cell_length_c 7.269
_cell_angle_alpha 90.00
_cell_angle_beta 90.00
_cell_angle_gamma 90.00
_space_group_name_H-M_alt 'P m m n'
_space_group_IT_number 59
loop_
_space_group_symop_operation_xyz
'x,y,z'
'-x,-y,-z'
'-x+1/2,-y+1/2,z'
'x+1/2,y+1/2,-z'
'x+1/2,-y,-z'
'-x+1/2,y,z'
'-x,y+1/2,-z'
'x,-y+1/2,z'
loop_
_atom_site_label
_atom_site_type_symbol
_atom_site_fract_x
_atom_site_fract_y
_atom_site_fract_z
Ba1 Ba 0.250 0.000 0.249
Dy1 Dy 0.250 0.250 0.749
Hf1 Hf 0.250 0.750 0.751
S1 S 0.006 0.750 0.508
S2 S 0.007 0.750 0.994
S3 S 0.250 0.507 0.750
```

Values from the calculation:
M_tot: 0.0 μB per cell
ΔE_f (raw): -1.766 eV/atom

***

Entry 8:
Material: ScIrI2
Method: DFT, PBE
State: optimized geometry

CIF file:
```
data_ScIrI2
_cell_length_a 5.039
_cell_length_b 5.039
_cell_length_c 16.747
_cell_angle_alpha 90.00
_cell_angle_beta 90.00
_cell_angle_gamma 90.00
_space_group_name_H-M_alt 'I -4 2 d'
_space_group_IT_number 122
_space_group_name_Hall 'I -4 2bw'
loop_
_atom_site_label
_atom_site_type_symbol
_atom_site_fract_x
_atom_site_fract_y
_atom_site_fract_z
Sc1 Sc 0.000 0.000 0.000
Ir1 Ir 0.000 0.000 0.500
I1 I 0.233 0.250 0.625
```

Values from the calculation:
polymorph energy (0 for the lowest one): 0.00 eV per formula unit
M_tot: 0.0 μB per cell
ΔE_f (raw): 0.112 eV/atom

***

Entry 9:
Material: Pr6HoSc
Method: DFT, PBE
State: optimized geometry

CIF file:
```
data_Pr6HoSc
_cell_length_a 5.134
_cell_length_b 5.134
_cell_length_c 10.275
_cell_angle_alpha 90.00
_cell_angle_beta 90.00
_cell_angle_gamma 90.00
_space_group_name_H-M_alt 'P 4/m m m'
_space_group_IT_number 123
_space_group_name_Hall '-P 4 2'
loop_
_atom_site_label
_atom_site_type_symbol
_atom_site_fract_x
_atom_site_fract_y
_atom_site_fract_z
Pr1 Pr 0.000 0.000 0.000
Pr2 Pr 0.000 0.000 0.500
Pr3 Pr 0.000 0.500 0.246
Ho1 Ho 0.500 0.500 0.500
Sc1 Sc 0.500 0.500 0.000
```

Values from the calculation:
M_tot: 0.0 μB per cell
energy of formation: 0.0269 eV/atom

***

Entry 10:
Material: ZnIn2Ir
Method: DFT, PBE
State: optimized geometry

CIF file:
```
data_ZnIn2Ir
_cell_length_a 3.237
_cell_length_b 4.016
_cell_length_c 5.670
_cell_angle_alpha 90.00
_cell_angle_beta 90.00
_cell_angle_gamma 90.00
_space_group_name_H-M_alt 'P m m 2'
_space_group_IT_number 25
loop_
_space_group_symop_operation_xyz
'x,y,z'
'-x,-y,z'
'-x,y,z'
'x,-y,z'
loop_
_atom_site_label
_atom_site_type_symbol
_atom_site_fract_x
_atom_site_fract_y
_atom_site_fract_z
Zn1 Zn 0.000 0.000 0.000
In1 In 0.000 0.000 0.538
In2 In 0.500 0.500 0.240
Ir1 Ir 0.500 0.500 0.758
```

Values from the calculation:
M_tot: 0.0 μB per cell
energy of formation: 0.0582 eV/atom

***

Entry 11:
Material: TbMg4Cd
Method: DFT, PBE
State: optimized geometry

CIF file:
```
data_TbMg4Cd
_cell_length_a 8.566
_cell_length_b 4.357
_cell_length_c 7.898
_cell_angle_alpha 90.00
_cell_angle_beta 90.00
_cell_angle_gamma 90.00
_space_group_name_H-M_alt 'P m m a'
_space_group_IT_number 51
loop_
_space_group_symop_operation_xyz
'x,y,z'
'-x,-y,-z'
'-x+1/2,-y,z'
'x+1/2,y,-z'
'x+1/2,-y,-z'
'-x+1/2,y,z'
'-x,y,-z'
'x,-y,z'
loop_
_atom_site_label
_atom_site_type_symbol
_atom_site_fract_x
_atom_site_fract_y
_atom_site_fract_z
Tb1 Tb 0.250 0.000 0.123
Mg1 Mg 0.000 0.000 0.500
Mg2 Mg 0.046 0.500 0.815
Mg3 Mg 0.250 0.500 0.441
Cd1 Cd 0.250 0.000 0.727
```

Values from the calculation:
polymorph energy (0 for the lowest one): 0.00 eV per formula unit
M_tot: 0.0 μB per cell
energy of formation: -0.0750 eV/atom

***

Entry 12:
Material: Na2CaSc
Method: DFT, PBE
State: optimized geometry

CIF file:
```
data_Na2CaSc
_cell_length_a 8.073
_cell_length_b 8.073
_cell_length_c 8.073
_cell_angle_alpha 90.00
_cell_angle_beta 90.00
_cell_angle_gamma 90.00
_space_group_name_H-M_alt 'F m -3 m'
_space_group_IT_number 225
_space_group_name_Hall '-F 4 2 3'
loop_
_atom_site_label
_atom_site_type_symbol
_atom_site_fract_x
_atom_site_fract_y
_atom_site_fract_z
Na1 Na 0.250 0.250 0.250
Ca1 Ca 0.000 0.000 0.000
Sc1 Sc 0.000 0.000 0.500
```

Values from the calculation:
polymorph energy (0 for the lowest one): 0.00 eV per formula unit
M_tot: 0.0 μB per cell
energy of formation: 0.3856 eV/atom